1.
The following is a PBE calculation of a geometry-optimized Ca3ReF structure, from Alexandria.

Properties
* final energy: -22.77 eV per cell
* calculated volume: 107.4 Å³ per cell

Unit cell a=4.7537 b=4.7537 c=4.7537 alpha=90.00 beta=90.00 gamma=90.00
Atoms (fractional coordinates):
Ca: 0.0000 0.0000 0.5000
Ca: 0.0000 0.5000 0.0000
Ca: 0.5000 0.0000 0.0000
Re: 0.5000 0.5000 0.5000
F: 0.0000 0.0000 0.0000

=====

2.
The following is a PBE calculation of a geometry-optimized BeAl2Cd2 structure, from Alexandria.

Properties
* calculated volume: 191.1 Å³ per cell
* energy of formation: 0.458 eV/atom

Unit cell a=6.6484 b=6.6484 c=4.3233 alpha=90.00 beta=90.00 gamma=90.00
Atoms (fractional coordinates):
Be: 0.0000 0.0000 0.0000
Be: 0.5000 0.5000 0.0000
Al: 0.1486 0.3514 0.5000
Al: 0.3514 0.8514 0.5000
Al: 0.6486 0.1486 0.5000
Al: 0.8514 0.6486 0.5000
Cd: 0.1634 0.6634 0.0000
Cd: 0.3366 0.1634 0.0000
Cd: 0.6634 0.8366 0.0000
Cd: 0.8366 0.3366 0.0000

=====

3.
The following is a PBE calculation of a geometry-optimized CeNdGa structure, from Alexandria.

Properties
* calculated volume: 163.6 Å³ per cell
* energy of formation: -0.391 eV/atom

Unit cell a=4.4962 b=4.3261 c=8.4114 alpha=90.00 beta=90.76 gamma=90.00
Atoms (fractional coordinates):
Ce: 0.1985 0.2500 0.0100
Ce: 0.8015 0.7500 0.9900
Nd: 0.2452 0.7500 0.3676
Nd: 0.7548 0.2500 0.6324
Ga: 0.2718 0.7500 0.7377
Ga: 0.7282 0.2500 0.2623

=====

4.
The following is a PBE calculation of a geometry-optimized KErI3 structure, from Alexandria.

Properties
* final energy: -15.90 eV per cell
* calculated volume: 216.4 Å³ per cell

Unit cell a=6.0033 b=6.0033 c=6.0033 alpha=90.00 beta=90.00 gamma=90.00
Atoms (fractional coordinates):
K: 0.0000 0.0000 0.0000
Er: 0.5000 0.5000 0.5000
I: 0.0000 0.5000 0.5000
I: 0.5000 0.0000 0.5000
I: 0.5000 0.5000 0.0000

=====

5.
The following is a PBE calculation of a geometry-optimized Pm3YHoEr structure, from Alexandria.

Properties
* calculated volume: 394.0 Å³ per cell
* energy of formation: 0.021 eV/atom

Unit cell a=8.0335 b=5.0961 c=10.1479 alpha=90.00 beta=108.51 gamma=90.00
Atoms (fractional coordinates):
Pm: 0.1689 0.2500 0.0425
Pm: 0.1686 0.2500 0.5418
Pm: 0.1703 0.7500 0.2923
Pm: 0.8297 0.2500 0.7077
Pm: 0.8314 0.7500 0.4582
Pm: 0.8311 0.7500 0.9575
Y: 0.1700 0.7500 0.7926
Y: 0.8300 0.2500 0.2074
Ho: 0.4998 0.2500 0.8756
Ho: 0.5002 0.7500 0.1244
Er: 0.4988 0.7500 0.6253
Er: 0.5012 0.2500 0.3747

=====

6.
The following is a PBE calculation of a geometry-optimized YZnSe2 structure, from Alexandria.

Properties
* final energy: -19.19 eV per cell
* calculated volume: 93.3 Å³ per cell

Unit cell a=3.9886 b=3.9886 c=5.8663 alpha=90.00 beta=90.00 gamma=90.00
Atoms (fractional coordinates):
Y: 0.0000 0.0000 0.0000
Zn: 0.5000 0.5000 0.5000
Se: 0.0000 0.0000 0.5000
Se: 0.5000 0.5000 0.0000